First-principles (PBE-GGA) data for a relaxed BiSbRh2 crystal, as listed in Alexandria via LeMat-Bulk.

Lattice parameters (Å, degrees): 4.1466 4.1466 17.3143 90.00 90.00 120.00
Space group R3m (No. 160, hexagonal axes)
Inequivalent atoms, fractional coordinates:
Bi  0.0000  0.0000  0.0000
Sb  0.0000  0.0000  0.1780
Rh  0.0000  0.0000  0.5689
Rh  0.0000  0.0000  0.7774

Values from the calculation:
Its energy above the most stable polymorph in this dataset is 241 meV per atom.

=====

First-principles (PBE-GGA) data for a relaxed PaInGe2Rh5 crystal, as listed in Alexandria via LeMat-Bulk.

Lattice parameters (Å, degrees): 4.196 4.196 8.840 90.00 90.00 90.00
Space group P4/mmm (No. 123)
Inequivalent atoms, fractional coordinates:
Pa  0.000  0.000  0.000
In  0.000  0.000  0.500
Ge  0.500  0.500  0.362
Rh  0.000  0.500  0.226
Rh  0.500  0.500  0.000

Values from the calculation:
The formation energy is -0.560 eV per atom.